Model w:
{"formula": "CoAg2BiPb", "functional": "PBE", "state": "relaxed", "magmom_total_mub_per_cell": 2.2, "lattice_angstrom": [[5.2248, 0.0000, 0.0000], [0.0000, 5.2248, 0.0000], [0.0000, 0.0000, 6.0703]], "species": ["Co", "Ag", "Ag", "Bi", "Pb"], "frac_coords": [[0.0000, 0.0000, 0.0000], [0.0000, 0.5000, 0.5000], [0.5000, 0.0000, 0.5000], [0.5000, 0.5000, 0.0000], [0.5000, 0.5000, 0.5000]]}



Model x:
{"formula": "CoAg2BiPb", "functional": "PBE", "state": "relaxed", "magmom_total_mub_per_cell": 0.6, "lattice_angstrom": [[5.0494, 0.0000, 0.0000], [0.0000, 5.0494, 0.0000], [0.0000, 0.0000, 4.7949]], "species": ["Co", "Ag", "Ag", "Bi", "Pb"], "frac_coords": [[0.0000, 0.0000, 0.0000], [0.0000, 0.5000, 0.0000], [0.5000, 0.0000, 0.0000], [0.0000, 0.0000, 0.5000], [0.5000, 0.5000, 0.5000]]}



In terms of stability, model x leads; the second structure lies 856 meV per atom higher.



Model w:
{"formula": "CsAg2Bi2", "functional": "PBE", "state": "relaxed", "magmom_total_mub_per_cell": 0.0, "lattice_angstrom": [[-2.5922, 2.5922, 6.0756], [2.5922, -2.5922, 6.0756], [2.5922, 2.5922, -6.0756]], "species": ["Cs", "Ag", "Ag", "Bi", "Bi"], "frac_coords": [[0.0000, 0.0000, 0.0000], [0.2500, 0.7500, 0.5000], [0.7500, 0.2500, 0.5000], [0.3701, 0.3701, 0.0000], [0.6299, 0.6299, 0.0000]]}



Model x:
{"formula": "CsAg2Bi2", "functional": "PBE", "state": "relaxed", "magmom_total_mub_per_cell": 0.0, "lattice_angstrom": [[-2.5586, 2.5586, 6.2497], [2.5586, -2.5586, 6.2497], [2.5586, 2.5586, -6.2497]], "species": ["Cs", "Ag", "Ag", "Bi", "Bi"], "frac_coords": [[0.0000, 0.0000, 0.0000], [0.3792, 0.3792, 0.0000], [0.6208, 0.6208, 0.0000], [0.2500, 0.7500, 0.5000], [0.7500, 0.2500, 0.5000]]}



Model y:
{"formula": "CsAg2Bi2", "functional": "PBE", "state": "relaxed", "magmom_total_mub_per_cell": 0.0, "lattice_angstrom": [[9.5278, 0.0000, 0.0000], [0.0000, 9.5278, 0.0000], [0.0000, 0.0000, 3.3459]], "species": ["Cs", "Cs", "Ag", "Ag", "Ag", "Ag", "Bi", "Bi", "Bi", "Bi"], "frac_coords": [[0.0000, 0.0000, 0.0000], [0.5000, 0.5000, 0.0000], [0.1513, 0.3487, 0.5000], [0.3487, 0.8487, 0.5000], [0.6513, 0.1513, 0.5000], [0.8487, 0.6513, 0.5000], [0.1358, 0.6358, 0.0000], [0.3642, 0.1358, 0.0000], [0.6358, 0.8642, 0.0000], [0.8642, 0.3642, 0.0000]]}



In terms of stability, model w leads; the second structure lies 79 meV per atom higher.



Model w:
{"formula": "CsAgBi2", "functional": "PBE", "state": "relaxed", "magmom_total_mub_per_cell": 0.0, "lattice_angstrom": [[1.8519, 1.0692, 11.0991], [-1.8519, 1.0692, 11.0991], [0.0000, -2.1384, 11.0991]], "species": ["Cs", "Ag", "Bi", "Bi"], "frac_coords": [[0.0000, 0.0000, 0.0000], [0.5000, 0.5000, 0.5000], [0.2333, 0.2333, 0.2333], [0.7667, 0.7667, 0.7667]]}



Model x:
{"formula": "CsAgBi2", "functional": "PBE", "state": "relaxed", "magmom_total_mub_per_cell": 0.0, "lattice_angstrom": [[0.0000, 4.0353, 4.0353], [4.0353, 0.0000, 4.0353], [4.0353, 4.0353, 0.0000]], "species": ["Cs", "Ag", "Bi", "Bi"], "frac_coords": [[0.0000, 0.0000, 0.0000], [0.5000, 0.5000, 0.5000], [0.2500, 0.2500, 0.2500], [0.7500, 0.7500, 0.7500]]}



In terms of stability, model w leads; the second structure lies 181 meV per atom higher.



Model w:
{"formula": "CsK2AgBi", "functional": "PBE", "state": "relaxed", "magmom_total_mub_per_cell": 0.5, "lattice_angstrom": [[6.5250, 0.0000, 0.0000], [0.0000, 6.5250, 0.0000], [0.0000, 0.0000, 5.6346]], "species": ["Cs", "K", "K", "Ag", "Bi"], "frac_coords": [[0.0000, 0.0000, 0.0000], [0.0000, 0.5000, 0.5000], [0.5000, 0.0000, 0.5000], [0.5000, 0.5000, 0.5000], [0.5000, 0.5000, 0.0000]]}



Model x:
{"formula": "CsK2AgBi", "functional": "PBE", "state": "relaxed", "magmom_total_mub_per_cell": 0.4, "lattice_angstrom": [[6.9226, 0.0000, 0.0000], [0.0000, 6.9226, 0.0000], [0.0000, 0.0000, 5.6641]], "species": ["Cs", "K", "K", "Ag", "Bi"], "frac_coords": [[0.0000, 0.0000, 0.0000], [0.0000, 0.5000, 0.5000], [0.5000, 0.0000, 0.5000], [0.5000, 0.5000, 0.0000], [0.5000, 0.5000, 0.5000]]}



In terms of stability, model w leads; the second structure lies 40 meV per atom higher.



Model w:
{"formula": "CuAgBi2", "functional": "PBE", "state": "relaxed", "magmom_total_mub_per_cell": 0.0, "lattice_angstrom": [[1.7537, 1.0125, 9.6618], [-1.7537, 1.0125, 9.6618], [0.0000, -2.0250, 9.6618]], "species": ["Cu", "Ag", "Bi", "Bi"], "frac_coords": [[0.0000, 0.0000, 0.0000], [0.5000, 0.5000, 0.5000], [0.4022, 0.4022, 0.4022], [0.5978, 0.5978, 0.5978]]}



Model x:
{"formula": "CuAgBi2", "functional": "PBE", "state": "relaxed", "magmom_total_mub_per_cell": 0.0, "lattice_angstrom": [[-2.4006, 2.4006, 9.1400], [2.4006, -2.4006, 9.1400], [2.4006, 2.4006, -9.1400]], "species": ["Cu", "Cu", "Ag", "Ag", "Bi", "Bi", "Bi", "Bi"], "frac_coords": [[0.0000, 0.0000, 0.0000], [0.7500, 0.2500, 0.5000], [0.2500, 0.7500, 0.5000], [0.5000, 0.5000, 0.0000], [0.0992, 0.6250, 0.9742], [0.3750, 0.3492, 0.4742], [0.6508, 0.1250, 0.0258], [0.8750, 0.9008, 0.5258]]}



Model y:
{"formula": "CuAgBi2", "functional": "PBE", "state": "relaxed", "magmom_total_mub_per_cell": 0.0, "lattice_angstrom": [[0.0000, 3.5981, 3.5981], [3.5981, 0.0000, 3.5981], [3.5981, 3.5981, 0.0000]], "species": ["Cu", "Ag", "Bi", "Bi"], "frac_coords": [[0.0000, 0.0000, 0.0000], [0.5000, 0.5000, 0.5000], [0.2500, 0.2500, 0.2500], [0.7500, 0.7500, 0.7500]]}



In terms of stability, model y leads; the second structure lies 19 meV per atom higher.



Model w:
{"formula": "CuAgBi", "functional": "PBE", "state": "relaxed", "magmom_total_mub_per_cell": 0.0, "lattice_angstrom": [[-1.6964, 1.6964, 5.3291], [1.6964, -1.6964, 5.3291], [1.6964, 1.6964, -5.3291]], "species": ["Cu", "Ag", "Bi"], "frac_coords": [[0.0000, 0.0000, 0.0000], [0.6209, 0.6209, 0.0000], [0.3253, 0.3253, 0.0000]]}



Model x:
{"formula": "CuAgBi", "functional": "PBE", "state": "relaxed", "magmom_total_mub_per_cell": 0.0, "lattice_angstrom": [[4.3556, 0.0000, 0.0000], [0.0000, 4.3556, 0.0000], [0.0000, 0.0000, 6.5941]], "species": ["Cu", "Cu", "Ag", "Ag", "Bi", "Bi"], "frac_coords": [[0.2500, 0.7500, 0.0000], [0.7500, 0.2500, 0.0000], [0.2500, 0.2500, 0.2460], [0.7500, 0.7500, 0.7540], [0.2500, 0.2500, 0.7069], [0.7500, 0.7500, 0.2931]]}



In terms of stability, model x leads; the second structure lies 89 meV per atom higher.



Model w:
{"formula": "CuAgBi", "functional": "PBE", "state": "relaxed", "magmom_total_mub_per_cell": 0.0, "lattice_angstrom": [[4.5950, 0.0000, 0.0000], [-2.2975, 3.9794, 0.0000], [0.0000, 0.0000, 3.4190]], "species": ["Cu", "Ag", "Bi"], "frac_coords": [[0.0000, 0.0000, 0.0000], [0.6667, 0.3333, 0.0064], [0.3333, 0.6667, 0.5054]]}



Model x:
{"formula": "CuAgBi", "functional": "PBE", "state": "relaxed", "magmom_total_mub_per_cell": 0.0, "lattice_angstrom": [[0.0000, 3.1945, 3.1945], [3.1945, 0.0000, 3.1945], [3.1945, 3.1945, 0.0000]], "species": ["Cu", "Ag", "Bi"], "frac_coords": [[0.0000, 0.0000, 0.0000], [0.7500, 0.7500, 0.7500], [0.2500, 0.2500, 0.2500]]}



In terms of stability, model x leads; the second structure lies 112 meV per atom higher.



Model w:
{"formula": "CuAg2Bi2", "functional": "PBE", "state": "relaxed", "magmom_total_mub_per_cell": 0.0, "lattice_angstrom": [[7.0677, 0.0000, 0.0000], [0.0000, 7.0677, 0.0000], [0.0000, 0.0000, 4.5776]], "species": ["Cu", "Cu", "Ag", "Ag", "Ag", "Ag", "Bi", "Bi", "Bi", "Bi"], "frac_coords": [[0.0000, 0.0000, 0.0000], [0.5000, 0.5000, 0.0000], [0.1429, 0.3571, 0.0000], [0.3571, 0.8571, 0.0000], [0.6429, 0.1429, 0.0000], [0.8571, 0.6429, 0.0000], [0.1713, 0.6713, 0.5000], [0.3287, 0.1713, 0.5000], [0.6713, 0.8287, 0.5000], [0.8287, 0.3287, 0.5000]]}



Model x:
{"formula": "CuAg2Bi2", "functional": "PBE", "state": "relaxed", "magmom_total_mub_per_cell": 0.0, "lattice_angstrom": [[7.3556, 0.0000, 0.0000], [0.0000, 7.3556, 0.0000], [0.0000, 0.0000, 4.5228]], "species": ["Cu", "Cu", "Ag", "Ag", "Ag", "Ag", "Bi", "Bi", "Bi", "Bi"], "frac_coords": [[0.0000, 0.0000, 0.0000], [0.5000, 0.5000, 0.0000], [0.1391, 0.3609, 0.5000], [0.3609, 0.8609, 0.5000], [0.6391, 0.1391, 0.5000], [0.8609, 0.6391, 0.5000], [0.1652, 0.6652, 0.0000], [0.3348, 0.1652, 0.0000], [0.6652, 0.8348, 0.0000], [0.8348, 0.3348, 0.0000]]}



In terms of stability, model w leads; the second structure lies 20 meV per atom higher.



Model w:
{"formula": "Cu2AgBi2", "functional": "PBE", "state": "relaxed", "magmom_total_mub_per_cell": 0.0, "lattice_angstrom": [[8.0204, 0.0000, 0.0000], [0.0000, 8.0204, 0.0000], [0.0000, 0.0000, 3.4555]], "species": ["Cu", "Cu", "Cu", "Cu", "Ag", "Ag", "Bi", "Bi", "Bi", "Bi"], "frac_coords": [[0.1108, 0.3892, 0.0000], [0.3892, 0.8892, 0.0000], [0.6108, 0.1108, 0.0000], [0.8892, 0.6108, 0.0000], [0.0000, 0.0000, 0.5000], [0.5000, 0.5000, 0.5000], [0.1824, 0.6824, 0.5000], [0.3176, 0.1824, 0.5000], [0.6824, 0.8176, 0.5000], [0.8176, 0.3176, 0.5000]]}



Model x:
{"formula": "Cu2AgBi2", "functional": "PBE", "state": "relaxed", "magmom_total_mub_per_cell": 0.0, "lattice_angstrom": [[7.1024, 0.0000, 0.0000], [0.0000, 7.1024, 0.0000], [0.0000, 0.0000, 4.1106]], "species": ["Cu", "Cu", "Cu", "Cu", "Ag", "Ag", "Bi", "Bi", "Bi", "Bi"], "frac_coords": [[0.1256, 0.3744, 0.0000], [0.3744, 0.8744, 0.0000], [0.6256, 0.1256, 0.0000], [0.8744, 0.6256, 0.0000], [0.0000, 0.0000, 0.0000], [0.5000, 0.5000, 0.0000], [0.1753, 0.6753, 0.5000], [0.3247, 0.1753, 0.5000], [0.6753, 0.8247, 0.5000], [0.8247, 0.3247, 0.5000]]}



In terms of stability, model x leads; the second structure lies 134 meV per atom higher.



Model w:
{"formula": "Dy4AgBi", "functional": "PBE", "state": "relaxed", "magmom_total_mub_per_cell": 0.0, "lattice_angstrom": [[2.7938, -10.3203, 0.0000], [2.7938, 10.3203, 0.0000], [0.0000, 0.0000, 6.4211]], "species": ["Dy", "Dy", "Dy", "Dy", "Dy", "Dy", "Dy", "Dy", "Ag", "Ag", "Bi", "Bi"], "frac_coords": [[0.0563, 0.9437, 0.7500], [0.2063, 0.7937, 0.5026], [0.2063, 0.7937, 0.9974], [0.3786, 0.6214, 0.7500], [0.6214, 0.3786, 0.2500], [0.7937, 0.2063, 0.0026], [0.7937, 0.2063, 0.4974], [0.9437, 0.0563, 0.2500], [0.0809, 0.9191, 0.2500], [0.9191, 0.0809, 0.7500], [0.3515, 0.6485, 0.2500], [0.6485, 0.3515, 0.7500]]}



Model x:
{"formula": "Dy4AgBi", "functional": "PBE", "state": "relaxed", "magmom_total_mub_per_cell": 0.0, "lattice_angstrom": [[0.0000, 7.0370, 7.0370], [7.0370, 0.0000, 7.0370], [7.0370, 7.0370, 0.0000]], "species": ["Dy", "Dy", "Dy", "Dy", "Dy", "Dy", "Dy", "Dy", "Dy", "Dy", "Dy", "Dy", "Dy", "Dy", "Dy", "Dy", "Ag", "Ag", "Ag", "Ag", "Bi", "Bi", "Bi", "Bi"], "frac_coords": [[0.0628, 0.0628, 0.4372], [0.0628, 0.4372, 0.0628], [0.0628, 0.4372, 0.4372], [0.0924, 0.6359, 0.6359], [0.1841, 0.1841, 0.8159], [0.1841, 0.8159, 0.1841], [0.1841, 0.8159, 0.8159], [0.4372, 0.0628, 0.0628], [0.4372, 0.0628, 0.4372], [0.4372, 0.4372, 0.0628], [0.6359, 0.0924, 0.6359], [0.6359, 0.6359, 0.0924], [0.6359, 0.6359, 0.6359], [0.8159, 0.1841, 0.1841], [0.8159, 0.1841, 0.8159], [0.8159, 0.8159, 0.1841], [0.4517, 0.8494, 0.8494], [0.8494, 0.4517, 0.8494], [0.8494, 0.8494, 0.4517], [0.8494, 0.8494, 0.8494], [0.4050, 0.4050, 0.4050], [0.4050, 0.4050, 0.7849], [0.4050, 0.7849, 0.4050], [0.7849, 0.4050, 0.4050]]}



In terms of stability, model x leads; the second structure lies 153 meV per atom higher.



Model w:
{"formula": "EuAgBi2", "functional": "PBE", "state": "relaxed", "magmom_total_mub_per_cell": 7.0, "lattice_angstrom": [[0.0000, 3.8603, 3.8603], [3.8603, 0.0000, 3.8603], [3.8603, 3.8603, 0.0000]], "species": ["Eu", "Ag", "Bi", "Bi"], "frac_coords": [[0.0000, 0.0000, 0.0000], [0.5000, 0.5000, 0.5000], [0.2500, 0.2500, 0.2500], [0.7500, 0.7500, 0.7500]]}



Model x:
{"formula": "EuAgBi2", "functional": "PBE", "state": "relaxed", "magmom_total_mub_per_cell": 6.9, "lattice_angstrom": [[4.9684, 0.0000, 0.0000], [0.0000, 4.9684, 0.0000], [0.0000, 0.0000, 4.5421]], "species": ["Eu", "Ag", "Bi", "Bi"], "frac_coords": [[0.0000, 0.0000, 0.0000], [0.5000, 0.5000, 0.0000], [0.0000, 0.5000, 0.5000], [0.5000, 0.0000, 0.5000]]}



In terms of stability, model x leads; the second structure lies 162 meV per atom higher.